## Dy3MgS (GGA-PBE)

Data for a relaxed structure of Dy3MgS.

Unit cell a=5.224 b=5.224 c=5.224 alpha=90.00 beta=90.00 gamma=90.00
Space group Pm-3m (No. 221)
One atom of each set of equivalent atoms:
1 Dy 0.000 0.000 0.500 [3 per cell]
2 Mg 0.500 0.500 0.500 [1 per cell]
3 S 0.000 0.000 0.000 [1 per cell]

Computed properties:
Its density of states at the Fermi level is 3.99 states/eV/cell. Its uncorrected formation energy is -703 meV per atom. For the total magnetic moment, the calculation gives 0.0000 μB/atom. Its energy is -4.6086 eV/atom.



## Dy2MgS4 (GGA-PBE)

Data for a relaxed structure of Dy2MgS4.

Unit cell a=8.202 b=8.202 c=8.507 alpha=90.00 beta=90.00 gamma=90.00
Space group I-42d (No. 122)
One atom of each set of equivalent atoms:
1 Dy 0.137 0.250 0.125 [8 per cell]
2 Mg 0.000 0.000 0.500 [4 per cell]
3 S 0.067 0.197 0.813 [16 per cell]

Computed properties:
Its density of states at the Fermi level is 0.00 states/eV/cell. Its uncorrected formation energy is -1818 meV per atom. For the total magnetic moment, the calculation gives 0.0000 μB/atom. Its energy is -5.7195 eV/atom.



## Dy2MgS4 (GGA-PBE)

Data for a relaxed structure of Dy2MgS4.

Unit cell a=12.623 b=3.855 c=13.467 alpha=90.00 beta=90.00 gamma=90.00
Space group Pnma (No. 62)
One atom of each set of equivalent atoms:
1 Dy 0.118 0.250 0.076 [4 per cell]
2 Dy 0.137 0.250 0.705 [4 per cell]
3 Mg 0.111 0.750 0.456 [4 per cell]
4 S 0.007 0.750 0.616 [4 per cell]
5 S 0.027 0.250 0.884 [4 per cell]
6 S 0.227 0.250 0.247 [4 per cell]
7 S 0.237 0.250 0.516 [4 per cell]

Computed properties:
Its density of states at the Fermi level is 0.00 states/eV/cell. Its uncorrected formation energy is -1830 meV per atom. For the total magnetic moment, the calculation gives 0.0000 μB/atom. Its energy is -5.7313 eV/atom.



## DyMg4S5 (GGA-PBE)

Data for a relaxed structure of DyMg4S5.

Unit cell a=3.761 b=3.761 c=26.727 alpha=90.00 beta=90.00 gamma=90.00
Space group I4/mmm (No. 139)
One atom of each set of equivalent atoms:
1 Dy 0.000 0.000 0.000 [2 per cell]
2 Mg 0.000 0.000 0.202 [4 per cell]
3 Mg 0.000 0.000 0.395 [4 per cell]
4 S 0.000 0.000 0.104 [4 per cell]
5 S 0.000 0.000 0.299 [4 per cell]
6 S 0.000 0.000 0.500 [2 per cell]

Computed properties:
Its density of states at the Fermi level is 3.58 states/eV/cell. Its uncorrected formation energy is -1484 meV per atom. For the total magnetic moment, the calculation gives 0.0000 μB/atom. Its energy is -4.6456 eV/atom.



## Dy2MgS (GGA-PBE)

Data for a relaxed structure of Dy2MgS.

Unit cell a=3.6652 b=3.6652 c=29.3863 alpha=90.00 beta=90.00 gamma=120.00
Space group R-3m (No. 166, hexagonal axes)
One atom of each set of equivalent atoms:
1 Dy 0.0000 0.0000 0.1108 [6 per cell]
2 Mg 0.0000 0.0000 0.0000 [3 per cell]
3 S 0.0000 0.0000 0.5000 [3 per cell]

Computed properties:
Its density of states at the Fermi level is 9.54 states/eV/cell. Its uncorrected formation energy is -686 meV per atom. For the total magnetic moment, the calculation gives 0.0000 μB/atom. Its energy is -4.4172 eV/atom.



## Dy2MgS4 (GGA-PBE)

Data for a relaxed structure of Dy2MgS4.

Unit cell a=11.177 b=11.177 c=11.177 alpha=90.00 beta=90.00 gamma=90.00
Space group Fd-3m (No. 227, origin choice 2)
One atom of each set of equivalent atoms:
1 Dy 0.000 0.000 0.000 [16 per cell]
2 Mg 0.125 0.125 0.625 [8 per cell]
3 S 0.005 0.005 0.245 [32 per cell]

Computed properties:
Its density of states at the Fermi level is 0.00 states/eV/cell. Its uncorrected formation energy is -1889 meV per atom. For the total magnetic moment, the calculation gives 0.0000 μB/atom. Its energy is -5.7900 eV/atom.



## Dy3Mg4S8 (GGA-PBE)

Data for a relaxed structure of Dy3Mg4S8.

Unit cell a=10.772 b=10.783 c=7.613 alpha=90.00 beta=134.60 gamma=90.00
Space group C2/m (No. 12)
One atom of each set of equivalent atoms:
1 Dy 0.000 0.000 0.000 [2 per cell]
2 Dy 0.250 0.250 0.500 [4 per cell]
3 Mg 0.000 0.500 0.000 [2 per cell]
4 Mg 0.000 0.500 0.500 [2 per cell]
5 Mg 0.250 0.250 0.000 [4 per cell]
6 S 0.000 0.256 0.000 [4 per cell]
7 S 0.000 0.257 0.500 [4 per cell]
8 S 0.235 0.500 0.979 [4 per cell]
9 S 0.242 0.500 0.491 [4 per cell]

Computed properties:
Its density of states at the Fermi level is 4.48 states/eV/cell. Its uncorrected formation energy is -1666 meV per atom. For the total magnetic moment, the calculation gives 0.0000 μB/atom. Its energy is -5.2133 eV/atom.



## Dy2MgS4 (GGA-PBE)

Data for a relaxed structure of Dy2MgS4.

Unit cell a=7.352 b=8.756 c=11.724 alpha=99.85 beta=96.41 gamma=91.97
Space group P-1 (No. 2)
One atom of each set of equivalent atoms:
1 Dy 0.130 0.445 0.330 [2 per cell]
2 Dy 0.141 0.977 0.356 [2 per cell]
3 Dy 0.249 0.123 0.996 [2 per cell]
4 Dy 0.363 0.294 0.654 [2 per cell]
5 Mg 0.260 0.593 0.987 [2 per cell]
6 Mg 0.363 0.793 0.690 [2 per cell]
7 S 0.087 0.951 0.133 [2 per cell]
8 S 0.093 0.397 0.103 [2 per cell]
9 S 0.198 0.542 0.603 [2 per cell]
10 S 0.206 0.007 0.606 [2 per cell]
11 S 0.290 0.716 0.360 [2 per cell]
12 S 0.347 0.236 0.400 [2 per cell]
13 S 0.387 0.836 0.898 [2 per cell]
14 S 0.400 0.351 0.881 [2 per cell]

Computed properties:
Its density of states at the Fermi level is 0.00 states/eV/cell. Its uncorrected formation energy is -1720 meV per atom. For the total magnetic moment, the calculation gives 0.0000 μB/atom. Its energy is -5.6215 eV/atom.